Entry 1:
# Dy2Zr2O7 (meta-GGA SCAN, single point on PBEsol structure)
# - Space-group type: P4_12_12, No. 92
data_Dy2Zr2O7
_cell_length_a 7.2013
_cell_length_b 7.2013
_cell_length_c 12.4816
_cell_angle_alpha 90.00
_cell_angle_beta 90.00
_cell_angle_gamma 90.00
_symmetry_space_group_name_H-M 'P 1'
_symmetry_Int_Tables_number 1
_symmetry_space_group_name_Hall 'P 1'
loop_
_atom_site_label
_atom_site_type_symbol
_atom_site_fract_x
_atom_site_fract_y
_atom_site_fract_z
_atom_site_occupancy
Dy1 Dy 0.6420 0.1227 0.1348 1
Dy2 Dy 0.6227 0.8580 0.8848 1
Dy3 Dy 0.8773 0.3580 0.3652 1
Dy4 Dy 0.8580 0.6227 0.1152 1
Dy5 Dy 0.1420 0.3773 0.6152 1
Dy6 Dy 0.1227 0.6420 0.8652 1
Dy7 Dy 0.3773 0.1420 0.3848 1
Dy8 Dy 0.3580 0.8773 0.6348 1
Zr1 Zr 0.6035 0.3740 0.5950 1
Zr2 Zr 0.6260 0.3965 0.9050 1
Zr3 Zr 0.8740 0.8965 0.3450 1
Zr4 Zr 0.8965 0.8740 0.6550 1
Zr5 Zr 0.1035 0.1260 0.1550 1
Zr6 Zr 0.1260 0.1035 0.8450 1
Zr7 Zr 0.3740 0.6035 0.4050 1
Zr8 Zr 0.3965 0.6260 0.0950 1
O1 O 0.5736 0.4080 0.4151 1
O2 O 0.5849 0.8229 0.0741 1
O3 O 0.5920 0.4264 0.0849 1
O4 O 0.6523 0.1339 0.9549 1
O5 O 0.6771 0.0849 0.3241 1
O6 O 0.6339 0.8477 0.7049 1
O7 O 0.6521 0.3479 0.7500 1
O8 O 0.8479 0.8479 0.5000 1
O9 O 0.8661 0.3477 0.5451 1
O10 O 0.8229 0.5849 0.9259 1
O11 O 0.8477 0.6339 0.2951 1
O12 O 0.9080 0.9264 0.1651 1
O13 O 0.9151 0.3229 0.1759 1
O14 O 0.9264 0.9080 0.8349 1
O15 O 0.0736 0.0920 0.3349 1
O16 O 0.0849 0.6771 0.6759 1
O17 O 0.0920 0.0736 0.6651 1
O18 O 0.1523 0.3661 0.7951 1
O19 O 0.1771 0.4151 0.4259 1
O20 O 0.1339 0.6523 0.0451 1
O21 O 0.1521 0.1521 0.0000 1
O22 O 0.3479 0.6521 0.2500 1
O23 O 0.3661 0.1523 0.2049 1
O24 O 0.3229 0.9151 0.8241 1
O25 O 0.3477 0.8661 0.4549 1
O26 O 0.4080 0.5736 0.5849 1
O27 O 0.4151 0.1771 0.5741 1
O28 O 0.4264 0.5920 0.9151 1

***

Entry 2:
# Dy2Zr2O7 (meta-GGA SCAN, single point on PBEsol structure)
# - Space-group type: Fd-3m, No. 227
data_Dy2Zr2O7
_cell_length_a 7.3695
_cell_length_b 7.3695
_cell_length_c 7.3695
_cell_angle_alpha 60.00
_cell_angle_beta 60.00
_cell_angle_gamma 60.00
_symmetry_space_group_name_H-M 'P 1'
_symmetry_Int_Tables_number 1
_symmetry_space_group_name_Hall 'P 1'
loop_
_atom_site_label
_atom_site_type_symbol
_atom_site_fract_x
_atom_site_fract_y
_atom_site_fract_z
_atom_site_occupancy
Dy1 Dy 0.6250 0.1250 0.1250 1
Dy2 Dy 0.1250 0.1250 0.1250 1
Dy3 Dy 0.1250 0.1250 0.6250 1
Dy4 Dy 0.1250 0.6250 0.1250 1
Zr1 Zr 0.6250 0.1250 0.6250 1
Zr2 Zr 0.6250 0.6250 0.1250 1
Zr3 Zr 0.6250 0.6250 0.6250 1
Zr4 Zr 0.1250 0.6250 0.6250 1
O1 O 0.0000 0.0000 0.0000 1
O2 O 0.2500 0.2500 0.2500 1
O3 O 0.7167 0.2833 0.2833 1
O4 O 0.2833 0.2833 0.7167 1
O5 O 0.7167 0.2833 0.7167 1
O6 O 0.7167 0.7167 0.2833 1
O7 O 0.2833 0.7167 0.2833 1
O8 O 0.9667 0.5333 0.5333 1
O9 O 0.2833 0.7167 0.7167 1
O10 O 0.9667 0.5333 0.9667 1
O11 O 0.5333 0.9667 0.5333 1
O12 O 0.5333 0.5333 0.9667 1
O13 O 0.9667 0.9667 0.5333 1
O14 O 0.5333 0.9667 0.9667 1

***

| no. | ΔE_f (raw) (meV per atom) |
| --- | --- |
| 1 | -3739 |
| 2 | -3821 |